# Tl2HgN

A relaxed Tl2HgN crystal (PBE, Alexandria).

Values from the calculation:
Distance to the lowest polymorph of the same formula ... 9.717 kcal/mol of atoms
D(E_F) ... 2.2 states/eV/f.u.
Uncorrected energy ... -2.382 eV per atom
Formation energy (no corrections) ... 0.96 eV per atom

Geometry as POSCAR:
```
Tl2HgN
1.0
0.000 3.621 3.621
3.621 0.000 3.621
3.621 3.621 0.000
Tl Hg N
2 1 1
Direct
0.250 0.250 0.250
0.750 0.750 0.750
0.500 0.500 0.500
0.000 0.000 0.000
```